An optimized crystal structure of TlCu2Ir, computed with PBE.

Summary:
Formation energy = 281.9 meV/atom
Raw total energy = -4.573 eV/atom
Size of the total moment = 0.00 μB/f.u.
Fermi-level density of states = 0.34 states/eV/atom
Calculated density = 14.03 Mg/m³
Volume = 248 Å³ per cell

Lattice parameters (Å, degrees): 3.8555 7.8499 8.1947 90.00 90.00 90.00
Element x y z (fractional)
Cu1 0.5000 0.0000 0.6293
Cu2 0.5000 0.2609 0.3474
Tl1 0.5000 0.5000 0.5797
Cu3 0.0000 0.5000 0.3383
Ir1 0.0000 0.7546 0.6171
Tl2 0.5000 0.0000 0.0797
Tl3 0.0000 0.0000 0.3788
Cu4 0.0000 0.0000 0.8383
Ir2 0.0000 0.7454 0.1171
Cu5 0.5000 0.7391 0.3474
Cu6 0.5000 0.7609 0.8474
Ir3 0.0000 0.2546 0.1171
Cu7 0.5000 0.5000 0.1293
Cu8 0.5000 0.2391 0.8474
Ir4 0.0000 0.2454 0.6171
Tl4 0.0000 0.5000 0.8788


An optimized crystal structure of TlCu2Ir, computed with PBE.

Summary:
Formation energy = 369.7 meV/atom
Raw total energy = -4.485 eV/atom
Size of the total moment = 0.00 μB/f.u.
Fermi-level density of states = 0.69 states/eV/atom
Calculated density = 14.00 Mg/m³
Volume = 62 Å³ per cell

Lattice parameters (Å, degrees): 4.1364 2.9042 5.3696 74.37 90.00 90.00
Element x y z (fractional)
Cu1 0.5000 0.0607 0.2640
Ir1 0.0000 0.4616 0.4548
Cu2 0.0000 0.1782 0.0110
Tl1 0.5000 0.7996 0.7702


An optimized crystal structure of TlCu2Ir, computed with PBE.

Summary:
Formation energy = 304.6 meV/atom
Raw total energy = -4.550 eV/atom
Size of the total moment = 0.00 μB/f.u.
Fermi-level density of states = 0.45 states/eV/atom
Calculated density = 14.10 Mg/m³
Volume = 62 Å³ per cell

Lattice parameters (Å, degrees): 4.8031 4.8031 4.8031 131.02 131.03 71.77
Element x y z (fractional)
Cu1 0.7498 0.2498 0.5000
Tl1 0.2501 0.7501 0.5000
Cu2 0.0000 0.0000 0.0000
Ir1 0.5001 0.5001 0.0000


An optimized crystal structure of TlCu2Ir, computed with PBE.

Summary:
Formation energy = 269.9 meV/atom
Raw total energy = -4.585 eV/atom
Size of the total moment = 0.00 μB/f.u.
Fermi-level density of states = 0.49 states/eV/atom
Calculated density = 13.38 Mg/m³
Volume = 130 Å³ per cell

Lattice parameters (Å, degrees): 5.1428 4.1314 6.1379 90.00 94.54 90.00
Element x y z (fractional)
Cu1 0.3595 0.0000 0.2731
Tl1 0.7288 0.5000 0.6905
Cu2 0.6087 0.5000 0.2313
Cu3 0.0636 0.5000 0.1240
Tl2 0.2556 0.0000 0.8146
Cu4 0.2234 0.5000 0.4966
Ir1 0.7644 0.0000 0.0025
Ir2 0.9024 0.0000 0.4212


An optimized crystal structure of TlCu2Ir, computed with PBE.

Summary:
Formation energy = 514.8 meV/atom
Raw total energy = -4.340 eV/atom
Size of the total moment = 0.00 μB/f.u.
Fermi-level density of states = 0.93 states/eV/atom
Calculated density = 13.37 Mg/m³
Volume = 65 Å³ per cell

Lattice parameters (Å, degrees): 2.8607 2.8607 8.8908 90.00 90.00 116.62
Element x y z (fractional)
Ir1 0.0000 0.0000 0.4757
Cu1 0.5000 0.5000 0.2438
Tl1 0.5000 0.5000 0.7531
Cu2 0.0000 0.0000 0.0275


An optimized crystal structure of TlCu2Ir, computed with PBE.

Summary:
Formation energy = 261.1 meV/atom
Raw total energy = -4.594 eV/atom
Size of the total moment = 0.00 μB/f.u.
Fermi-level density of states = 0.59 states/eV/atom
Calculated density = 12.41 Mg/m³
Volume = 280 Å³ per cell

Lattice parameters (Å, degrees): 4.3792 14.9773 4.4148 90.00 104.61 90.00
Element x y z (fractional)
Ir1 0.0000 0.4056 0.0000
Cu1 0.0000 0.7267 0.5000
Tl1 0.0000 0.0439 0.0000
Cu2 0.5000 0.8149 0.5000
Cu3 0.5000 0.3149 0.0000
Ir2 0.0000 0.8203 0.0000
Cu4 0.0000 0.2267 0.0000
Tl2 0.0000 0.5439 0.5000
Cu5 0.5000 0.4134 0.5000
Tl3 0.5000 0.1853 0.5000
Tl4 0.5000 0.6853 0.0000
Ir3 0.0000 0.9056 0.5000
Cu6 0.5000 0.9981 0.5000
Ir4 0.0000 0.3203 0.5000
Cu7 0.5000 0.4981 0.0000
Cu8 0.5000 0.9134 0.0000


An optimized crystal structure of TlCu2Ir, computed with PBE.

Summary:
Formation energy = 263.7 meV/atom
Raw total energy = -4.591 eV/atom
Size of the total moment = 0.00 μB/f.u.
Fermi-level density of states = 0.66 states/eV/atom
Calculated density = 13.46 Mg/m³
Volume = 129 Å³ per cell

Lattice parameters (Å, degrees): 5.5679 3.0552 7.7340 90.00 100.78 90.00
Element x y z (fractional)
Cu1 0.6397 0.0000 0.8219
Cu2 0.8556 0.5000 0.6394
Cu3 0.3441 0.5000 0.6298
Ir1 0.1609 0.0000 0.8408
Ir2 0.5486 0.0000 0.4319
Tl1 0.4510 0.5000 0.1156
Cu4 0.9221 0.5000 0.0199
Tl2 0.0242 0.0000 0.3534


An optimized crystal structure of TlCu2Ir, computed with PBE.

Summary:
Formation energy = 504.8 meV/atom
Raw total energy = -4.350 eV/atom
Size of the total moment = 0.63 μB/f.u.
Fermi-level density of states = 1.30 states/eV/atom
Calculated density = 13.33 Mg/m³
Volume = 65 Å³ per cell

Lattice parameters (Å, degrees): 8.8792 8.8792 8.8792 19.06 19.06 19.06
Element x y z (fractional)
Ir1 0.2500 0.2500 0.2500
Cu1 0.5069 0.5069 0.5069
Tl1 0.7500 0.7500 0.7500
Cu2 0.9931 0.9931 0.9931


An optimized crystal structure of TlCu2Ir, computed with PBE.

Summary:
Formation energy = 526.9 meV/atom
Raw total energy = -4.328 eV/atom
Size of the total moment = 0.00 μB/f.u.
Fermi-level density of states = 0.45 states/eV/atom
Calculated density = 12.58 Mg/m³
Volume = 138 Å³ per cell

Lattice parameters (Å, degrees): 3.8744 3.8744 9.6106 78.37 78.37 90.00
Element x y z (fractional)
Cu1 0.5763 0.1250 0.2500
Cu2 0.1737 0.6250 0.2500
Cu3 0.8750 0.8263 0.7500
Tl1 0.7500 0.2500 0.5000
Ir1 0.2500 0.7500 0.5000
Tl2 0.0000 0.0000 0.0000
Ir2 0.5000 0.5000 0.0000
Cu4 0.3750 0.4237 0.7500


An optimized crystal structure of TlCu2Ir, computed with PBE.

Summary:
Formation energy = 265.5 meV/atom
Raw total energy = -4.589 eV/atom
Size of the total moment = 0.00 μB/f.u.
Fermi-level density of states = 0.77 states/eV/atom
Calculated density = 12.74 Mg/m³
Volume = 137 Å³ per cell

Lattice parameters (Å, degrees): 4.5897 4.6183 7.0469 74.63 71.67 82.64
Element x y z (fractional)
Tl1 0.8964 0.0641 0.1685
Cu1 0.6288 0.6135 0.5154
Cu2 0.6786 0.7681 0.9620
Cu3 0.2635 0.8979 0.7802
Ir1 0.4662 0.3214 0.8991
Cu4 0.8355 0.0430 0.5963
Tl2 0.2830 0.4498 0.3070
Ir2 0.0416 0.4561 0.7178


An optimized crystal structure of TlCu2Ir, computed with PBE.

Summary:
Formation energy = 365.2 meV/atom
Raw total energy = -4.490 eV/atom
Size of the total moment = 0.00 μB/f.u.
Fermi-level density of states = 0.53 states/eV/atom
Calculated density = 14.29 Mg/m³
Volume = 61 Å³ per cell

Lattice parameters (Å, degrees): 4.4152 4.4152 4.4152 60.00 60.00 60.00
Element x y z (fractional)
Cu1 0.2500 0.2500 0.2500
Tl1 0.5000 0.5000 0.5000
Ir1 0.0000 0.0000 0.0000
Cu2 0.7500 0.7500 0.7500


An optimized crystal structure of TlCu2Ir, computed with PBE.

Summary:
Formation energy = 290.7 meV/atom
Raw total energy = -4.564 eV/atom
Size of the total moment = 0.00 μB/f.u.
Fermi-level density of states = 0.38 states/eV/atom
Calculated density = 13.81 Mg/m³
Volume = 126 Å³ per cell

Lattice parameters (Å, degrees): 4.5523 5.3183 6.0978 71.10 89.23 65.60
Element x y z (fractional)
Tl1 0.2264 0.1418 0.1472
Cu1 0.3535 0.6351 0.5952
Ir1 0.7553 0.1210 0.8864
Cu2 0.2592 0.1099 0.6752
Tl2 0.8932 0.6500 0.3170
Ir2 0.7245 0.1721 0.4400
Cu3 0.8382 0.6533 0.7780
Cu4 0.3896 0.6104 0.0136


- Which value of volume does entry 12 give?
  126 Å³ per cell


- Among the records above, which one has the highest calculated density?
  number 11